{
  "formula": "MnFe2Ni8",
  "functional": "PBE",
  "state": "relaxed",
  "e_above_lowest_polymorph_mev_per_atom": 177,
  "n_ef_per_ev_cell": 11.73,
  "lattice": [[3.2512, -6.2122, 0.0000], [3.2512, 6.2122, 0.0000], [-2.8392, 0.0000, 3.2497]],
  "species": ["Mn", "Fe", "Fe", "Ni", "Ni", "Ni", "Ni", "Ni", "Ni", "Ni", "Ni"],
  "frac_coords": [[0.0000, 0.0000, 0.0000], [0.3170, 0.6830, 0.5000], [0.6830, 0.3170, 0.5000], [0.1040, 0.3731, 0.7338], [0.1983, 0.8017, 0.0000], [0.3731, 0.1040, 0.7338], [0.4882, 0.4882, 0.2415], [0.5118, 0.5118, 0.7585], [0.6269, 0.8960, 0.2662], [0.8017, 0.1983, 0.0000], [0.8960, 0.6269, 0.2662]]
}

{
  "formula": "Mn2FeNi2",
  "functional": "PBE",
  "state": "relaxed",
  "n_ef_per_ev_cell": 14.76,
  "lattice": [[6.6476, 0.0000, 0.0000], [0.0000, 6.6476, 0.0000], [0.0000, 0.0000, 2.5119]],
  "species": ["Mn", "Mn", "Mn", "Mn", "Fe", "Fe", "Ni", "Ni", "Ni", "Ni"],
  "frac_coords": [[0.1750, 0.3250, 0.0000], [0.3250, 0.8250, 0.0000], [0.6750, 0.1750, 0.0000], [0.8250, 0.6750, 0.0000], [0.0000, 0.0000, 0.5000], [0.5000, 0.5000, 0.5000], [0.1238, 0.6238, 0.5000], [0.3762, 0.1238, 0.5000], [0.6238, 0.8762, 0.5000], [0.8762, 0.3762, 0.5000]]
}

{
  "formula": "MnFeNi3",
  "functional": "PBE",
  "state": "relaxed",
  "e_above_lowest_polymorph_mev_per_atom": 906,
  "n_ef_per_ev_cell": 4.56,
  "lattice": [[4.2694, 0.0000, 0.0000], [0.0000, 4.2694, 0.0000], [0.0000, 0.0000, 4.2694]],
  "species": ["Mn", "Fe", "Ni", "Ni", "Ni"],
  "frac_coords": [[0.0000, 0.0000, 0.0000], [0.5000, 0.5000, 0.5000], [0.0000, 0.5000, 0.5000], [0.5000, 0.0000, 0.5000], [0.5000, 0.5000, 0.0000]]
}

{
  "formula": "Mn2FeNi",
  "functional": "PBE",
  "state": "relaxed",
  "e_above_lowest_polymorph_mev_per_atom": 165,
  "n_ef_per_ev_cell": 5.94,
  "lattice": [[2.8268, 0.0000, 0.0000], [0.0000, 2.8268, 0.0000], [0.0000, 0.0000, 5.7978]],
  "species": ["Mn", "Mn", "Fe", "Ni"],
  "frac_coords": [[0.0000, 0.0000, 0.0000], [0.5000, 0.5000, 0.2457], [0.5000, 0.5000, 0.7554], [0.0000, 0.0000, 0.5029]]
}

{
  "formula": "MnFe4Ni15",
  "functional": "PBE",
  "state": "relaxed",
  "n_ef_per_ev_cell": 15.37,
  "lattice": [[3.5548, 0.0000, 0.0000], [0.0000, 3.5548, 0.0000], [0.0000, 0.0000, 17.6737]],
  "species": ["Mn", "Fe", "Fe", "Fe", "Fe", "Ni", "Ni", "Ni", "Ni", "Ni", "Ni", "Ni", "Ni", "Ni", "Ni", "Ni", "Ni", "Ni", "Ni", "Ni"],
  "frac_coords": [[0.0000, 0.0000, 0.0000], [0.0000, 0.0000, 0.2004], [0.0000, 0.0000, 0.4002], [0.0000, 0.0000, 0.5998], [0.0000, 0.0000, 0.7996], [0.0000, 0.5000, 0.1023], [0.0000, 0.5000, 0.3007], [0.0000, 0.5000, 0.5000], [0.0000, 0.5000, 0.6993], [0.0000, 0.5000, 0.8977], [0.5000, 0.0000, 0.1023], [0.5000, 0.0000, 0.3007], [0.5000, 0.0000, 0.5000], [0.5000, 0.0000, 0.6993], [0.5000, 0.0000, 0.8977], [0.5000, 0.5000, 0.0000], [0.5000, 0.5000, 0.2013], [0.5000, 0.5000, 0.4003], [0.5000, 0.5000, 0.5997], [0.5000, 0.5000, 0.7987]]
}

{
  "formula": "Mn2FeNi",
  "functional": "PBE",
  "state": "relaxed",
  "e_above_lowest_polymorph_mev_per_atom": 101,
  "n_ef_per_ev_cell": 3.62,
  "lattice": [[1.2394, 0.7156, 8.2003], [-1.2394, 0.7156, 8.2003], [0.0000, -1.4311, 8.2003]],
  "species": ["Mn", "Mn", "Fe", "Ni"],
  "frac_coords": [[0.0000, 0.0000, 0.0000], [0.2526, 0.2526, 0.2526], [0.7498, 0.7498, 0.7498], [0.5008, 0.5008, 0.5008]]
}

{
  "formula": "Mn2FeNi",
  "functional": "PBE",
  "state": "relaxed",
  "e_above_lowest_polymorph_mev_per_atom": 204,
  "n_ef_per_ev_cell": 6.32,
  "lattice": [[0.0000, 2.8496, 2.8496], [2.8496, 0.0000, 2.8496], [2.8496, 2.8496, 0.0000]],
  "species": ["Mn", "Mn", "Fe", "Ni"],
  "frac_coords": [[0.0000, 0.0000, 0.0000], [0.2500, 0.2500, 0.2500], [0.5000, 0.5000, 0.5000], [0.7500, 0.7500, 0.7500]]
}

{
  "formula": "MnFe2Ni8",
  "functional": "PBE",
  "state": "relaxed",
  "e_above_lowest_polymorph_mev_per_atom": 0,
  "n_ef_per_ev_cell": 10.12,
  "lattice": [[6.3951, -1.7808, 0.0000], [6.3951, 1.7808, 0.0000], [-1.5065, 0.0000, 5.4299]],
  "species": ["Mn", "Fe", "Fe", "Ni", "Ni", "Ni", "Ni", "Ni", "Ni", "Ni", "Ni"],
  "frac_coords": [[0.0000, 0.0000, 0.0000], [0.2734, 0.2734, 0.3547], [0.7266, 0.7266, 0.6453], [0.0925, 0.0925, 0.4565], [0.1820, 0.1820, 0.9095], [0.3616, 0.3616, 0.8145], [0.4548, 0.4548, 0.2776], [0.5452, 0.5452, 0.7224], [0.6384, 0.6384, 0.1855], [0.8180, 0.8180, 0.0905], [0.9075, 0.9075, 0.5435]]
}

| no. | energy relative to the elements (eV/atom) |
| --- | --- |
| 1 | 0.12 |
| 2 | 0.40 |
| 3 | 0.95 |
| 4 | 0.12 |
| 5 | -0.09 |
| 6 | 0.06 |
| 7 | 0.16 |
| 8 | -0.06 |